# NpAu2O6 GGA-PBE relaxed
# - V (Å³/cell) = 633.3
# - uncorrected formation energy (eV per atom) = -1.043
data_NpAu2O6
_space_group_name_H-M_alt 'C 1 2/c 1'
_space_group_IT_number 15
_space_group_name_Hall '-C 2yc'
_cell_length_a 9.352
_cell_length_b 10.741
_cell_length_c 6.477
_cell_angle_alpha 90.00
_cell_angle_beta 103.28
_cell_angle_gamma 90.00
loop_
_atom_site_label
_atom_site_fract_x
_atom_site_fract_y
_atom_site_fract_z
Np1 0.000 0.094 0.250
Au1 0.142 0.496 0.292
O1 0.106 0.213 0.150
O2 0.119 0.036 0.644
O3 0.145 0.396 0.547

=====

# Np4AuO12 GGA-PBE relaxed
# - V (Å³/cell) = 550.0
# - uncorrected formation energy (eV per atom) = -2.466
data_Np4AuO12
_space_group_name_H-M_alt 'I m m m'
_space_group_IT_number 71
_space_group_name_Hall '-I 2 2'
_cell_length_a 8.153
_cell_length_b 8.156
_cell_length_c 8.270
_cell_angle_alpha 90.00
_cell_angle_beta 90.00
_cell_angle_gamma 90.00
loop_
_atom_site_label
_atom_site_fract_x
_atom_site_fract_y
_atom_site_fract_z
Np1 0.250 0.250 0.250
Au1 0.000 0.000 0.000
O1 0.000 0.253 0.294
O2 0.200 0.201 0.000
O3 0.243 0.500 0.207

=====

# Np2AuO8 GGA-PBE relaxed
# - V (Å³/cell) = 339.6
# - uncorrected formation energy (eV per atom) = -1.801
data_Np2AuO8
_space_group_name_H-M_alt 'C 1 2/m 1'
_space_group_IT_number 12
_space_group_name_Hall '-C 2y'
_cell_length_a 11.542
_cell_length_b 7.155
_cell_length_c 4.170
_cell_angle_alpha 90.00
_cell_angle_beta 99.57
_cell_angle_gamma 90.00
loop_
_atom_site_label
_atom_site_fract_x
_atom_site_fract_y
_atom_site_fract_z
Np1 0.208 0.000 0.424
Au1 0.000 0.500 0.500
O1 0.053 0.000 0.275
O2 0.144 0.323 0.501
O3 0.221 0.000 0.928

=====

# NpP2AuO8 GGA-PBE relaxed
# - V (Å³/cell) = 456.9
# - uncorrected formation energy (eV per atom) = -2.100
data_NpP2AuO8
_space_group_name_H-M_alt 'C 1 2/m 1'
_space_group_IT_number 12
_space_group_name_Hall '-C 2y'
_cell_length_a 9.504
_cell_length_b 5.613
_cell_length_c 8.931
_cell_angle_alpha 90.00
_cell_angle_beta 106.45
_cell_angle_gamma 90.00
loop_
_atom_site_label
_atom_site_fract_x
_atom_site_fract_y
_atom_site_fract_z
Np1 0.000 0.000 0.000
P1 0.213 0.500 0.205
Au1 0.000 0.000 0.500
O1 0.113 0.277 0.156
O2 0.174 0.000 0.893
O3 0.215 0.000 0.620

=====

# NpPAuO6 GGA-PBE relaxed
# - V (Å³/cell) = 269.4
# - uncorrected formation energy (eV per atom) = -1.694
data_NpPAuO6
_space_group_name_H-M_alt 'C 1 2 1'
_space_group_IT_number 5
_space_group_name_Hall 'C 2y'
_cell_length_a 5.093
_cell_length_b 9.377
_cell_length_c 6.063
_cell_angle_alpha 90.00
_cell_angle_beta 111.50
_cell_angle_gamma 90.00
loop_
_atom_site_label
_atom_site_fract_x
_atom_site_fract_y
_atom_site_fract_z
Np1 0.000 0.000 0.000
P1 0.000 0.659 0.000
Au1 0.000 0.294 0.500
O1 0.196 0.654 0.827
O2 0.202 0.800 0.169
O3 0.230 0.531 0.176

=====

# NpPtAuO6 GGA-PBE relaxed
# - V (Å³/cell) = 247.0
# - uncorrected formation energy (eV per atom) = -1.232
data_NpPtAuO6
_space_group_name_H-M_alt 'P -3 1 c'
_space_group_IT_number 163
_space_group_name_Hall '-P 3 2c'
_cell_length_a 5.3643
_cell_length_b 5.3643
_cell_length_c 9.9125
_cell_angle_alpha 90.00
_cell_angle_beta 90.00
_cell_angle_gamma 120.00
loop_
_atom_site_label
_atom_site_fract_x
_atom_site_fract_y
_atom_site_fract_z
Np1 0.3333 0.6667 0.2500
Pt1 0.3333 0.6667 0.7500
Au1 0.0000 0.0000 0.0000
O1 0.0065 0.3565 0.6369

=====

# PuNpAuO6 GGA-PBE relaxed
# - V (Å³/cell) = 278.6
# - uncorrected formation energy (eV per atom) = -2.053
data_PuNpAuO6
_space_group_name_H-M_alt 'P -3 1 c'
_space_group_IT_number 163
_space_group_name_Hall '-P 3 2c'
_cell_length_a 5.8503
_cell_length_b 5.8503
_cell_length_c 9.4005
_cell_angle_alpha 90.00
_cell_angle_beta 90.00
_cell_angle_gamma 120.00
loop_
_atom_site_label
_atom_site_fract_x
_atom_site_fract_y
_atom_site_fract_z
Pu1 0.3333 0.6667 0.2500
Np1 0.3333 0.6667 0.7500
Au1 0.0000 0.0000 0.0000
O1 0.0108 0.3721 0.6404

=====

# Rb2NpAuO6 GGA-PBE relaxed
# - V (Å³/cell) = 350.0
# - uncorrected formation energy (eV per atom) = -1.770
data_Rb2NpAuO6
_space_group_name_H-M_alt 'I 4/m m m'
_space_group_IT_number 139
_space_group_name_Hall '-I 4 2'
_cell_length_a 5.808
_cell_length_b 5.808
_cell_length_c 10.376
_cell_angle_alpha 90.00
_cell_angle_beta 90.00
_cell_angle_gamma 90.00
loop_
_atom_site_label
_atom_site_fract_x
_atom_site_fract_y
_atom_site_fract_z
Rb1 0.000 0.500 0.250
Np1 0.000 0.000 0.000
Au1 0.000 0.000 0.500
O1 0.000 0.000 0.182
O2 0.244 0.244 0.500

=====

# NpSbAuO6 GGA-PBE relaxed
# - V (Å³/cell) = 266.1
# - uncorrected formation energy (eV per atom) = -1.472
data_NpSbAuO6
_space_group_name_H-M_alt 'P -3 1 c'
_space_group_IT_number 163
_space_group_name_Hall '-P 3 2c'
_cell_length_a 5.5352
_cell_length_b 5.5352
_cell_length_c 10.0274
_cell_angle_alpha 90.00
_cell_angle_beta 90.00
_cell_angle_gamma 120.00
loop_
_atom_site_label
_atom_site_fract_x
_atom_site_fract_y
_atom_site_fract_z
Np1 0.3333 0.6667 0.2500
Sb1 0.3333 0.6667 0.7500
Au1 0.0000 0.0000 0.0000
O1 0.0109 0.3700 0.6405

=====

# NpSbAuO GGA-PBE relaxed
# - V (Å³/cell) = 159.0
# - uncorrected formation energy (eV per atom) = -1.254
data_NpSbAuO
_space_group_name_H-M_alt 'P 4/n m m'
_space_group_IT_number 129
_cell_length_a 4.047
_cell_length_b 4.047
_cell_length_c 9.709
_cell_angle_alpha 90.00
_cell_angle_beta 90.00
_cell_angle_gamma 90.00
loop_
_space_group_symop_operation_xyz
'x,y,z'
'-x,-y,-z'
'-y+1/2,x,z'
'y+1/2,-x,-z'
'-x+1/2,-y+1/2,z'
'x+1/2,y+1/2,-z'
'y,-x+1/2,z'
'-y,x+1/2,-z'
'x+1/2,-y,-z'
'-x+1/2,y,z'
'-y,-x,-z'
'y,x,z'
'-x,y+1/2,-z'
'x,-y+1/2,z'
'y+1/2,x+1/2,-z'
'-y+1/2,-x+1/2,z'
loop_
_atom_site_label
_atom_site_fract_x
_atom_site_fract_y
_atom_site_fract_z
Np1 0.250 0.250 0.119
Sb1 0.250 0.250 0.710
Au1 0.250 0.750 0.500
O1 0.250 0.750 0.000

=====

# NpScAuO6 GGA-PBE relaxed
# - V (Å³/cell) = 246.9
# - uncorrected formation energy (eV per atom) = -2.052
data_NpScAuO6
_space_group_name_H-M_alt 'P -3 1 c'
_space_group_IT_number 163
_space_group_name_Hall '-P 3 2c'
_cell_length_a 5.5602
_cell_length_b 5.5602
_cell_length_c 9.2208
_cell_angle_alpha 90.00
_cell_angle_beta 90.00
_cell_angle_gamma 120.00
loop_
_atom_site_label
_atom_site_fract_x
_atom_site_fract_y
_atom_site_fract_z
Np1 0.3333 0.6667 0.2500
Sc1 0.3333 0.6667 0.7500
Au1 0.0000 0.0000 0.0000
O1 0.0123 0.3635 0.1358

=====

# Np2AuSe2O2 GGA-PBE relaxed
# - V (Å³/cell) = 150.0
# - uncorrected formation energy (eV per atom) = -1.725
data_Np2AuSe2O2
_space_group_name_H-M_alt 'P -3 m 1'
_space_group_IT_number 164
_space_group_name_Hall '-P 3 2"'
_cell_length_a 3.8763
_cell_length_b 3.8763
_cell_length_c 11.5290
_cell_angle_alpha 90.00
_cell_angle_beta 90.00
_cell_angle_gamma 120.00
loop_
_atom_site_label
_atom_site_fract_x
_atom_site_fract_y
_atom_site_fract_z
Np1 0.3333 0.6667 0.1293
Au1 0.0000 0.0000 0.5000
Se1 0.0000 0.0000 0.2884
O1 0.3333 0.6667 0.9274